## i
Below is a geometry-optimized CrAs2SeBr structure, with properties calculated at the GGA-PBEsol level.

Calculated values
N(E_F)	0.9279	states/eV per atom
total moment	3.1	μB/f.u.
SG	No. 123

a b c (Å): 5.0368 5.0368 4.9730
angles (deg): 90.00 90.00 90.00
With the nearest neighbours (Å) after each atom.
Fractional coordinates of all 5 atoms:
As 0.0000 0.5000 0.0000  2 Br 2.52
As 0.5000 0.0000 0.0000  2 Br 2.52
Se 0.0000 0.0000 0.5000  2 Br 2.49
Br 0.0000 0.0000 0.0000  2 Se 2.49, 4 As 2.52
Cr 0.5000 0.5000 0.5000  8 As 3.54, 4 Se 3.56


## ii
Below is a geometry-optimized CrAs2SeBr structure, with properties calculated at the GGA-PBEsol level.

Calculated values
N(E_F)	0.6626	states/eV per atom
total moment	0.0	μB/f.u.
SG	No. 123

a b c (Å): 4.5452 4.6834 4.6834
angles (deg): 90.00 90.00 90.00
With the nearest neighbours (Å) after each atom.
Fractional coordinates of all 5 atoms:
Se 0.5000 0.0000 0.0000  2 Cr 2.27
As 0.0000 0.0000 0.5000  2 Cr 2.34
As 0.0000 0.5000 0.0000  2 Cr 2.34
Br 0.5000 0.5000 0.5000  8 As 3.26, 4 Se 3.31
Cr 0.0000 0.0000 0.0000  2 Se 2.27, 4 As 2.34


Which structure wins on stability? ii wins.


## i
Below is a geometry-optimized CuAsBr2 structure, with properties calculated at the GGA-PBEsol level.

Calculated values
N(E_F)	0.3397	states/eV per atom
total moment	0.0	μB/f.u.
SG	No. 47

a b c (Å): 3.4584 4.4453 5.4562
angles (deg): 89.94 90.00 90.00
With the nearest neighbours (Å) after each atom.
Fractional coordinates of all 4 atoms:
Br 0.5000 0.5000 0.5000  2 Cu 2.73, 4 As 2.82
Br 0.0000 0.0000 0.0000  2 As 2.73, 4 Cu 2.82
As 0.0000 0.0000 0.5000  6 Br 2.73-2.82
Cu 0.5000 0.5000 0.0000  6 Br 2.73-2.82


## ii
Below is a geometry-optimized CuAsBr2 structure, with properties calculated at the GGA-PBEsol level.

Calculated values
N(E_F)	0.3803	states/eV per atom
total moment	0.0	μB/f.u.
SG	No. 12

a b c (Å): 3.2333 5.2996 5.2996
angles (deg): 89.98 89.84 89.84
With the nearest neighbours (Å) after each atom.
Fractional coordinates of all 4 atoms:
Cu 0.0000 0.5000 0.5000  4 Br 2.65
Br 0.0000 0.0000 0.5000  2 As 2.65, 2 Cu 2.65
Br 0.0000 0.5000 0.0000  2 Cu 2.65, 2 As 2.65
As 0.0000 0.0000 0.0000  4 Br 2.65


## iii
Below is a geometry-optimized CuAsBr2 structure, with properties calculated at the GGA-PBEsol level.

Calculated values
N(E_F)	0.7025	states/eV per atom
total moment	0.6	μB/f.u.
SG	No. 47

a b c (Å): 3.3658 4.0824 6.5527
angles (deg): 90.00 90.00 90.00
With the nearest neighbours (Å) after each atom.
Fractional coordinates of all 4 atoms:
Br 0.5000 0.0000 0.5000  4 As 2.65
Br 0.0000 0.0000 0.0000  4 Cu 2.65
As 0.0000 0.5000 0.5000  4 Br 2.65
Cu 0.5000 0.5000 0.0000  4 Br 2.65


Which structure wins on stability? ii wins.


## i
Below is a geometry-optimized FeAsBr2 structure, with properties calculated at the GGA-PBEsol level.

Calculated values
N(E_F)	1.0799	states/eV per atom
total moment	3.2	μB/f.u.
SG	No. 123

a b c (Å): 3.2661 4.8421 4.8421
angles (deg): 90.00 90.00 90.00
With the nearest neighbours (Å) after each atom.
Fractional coordinates of all 4 atoms:
Fe 0.5000 0.5000 0.5000  8 Br 2.92, 2 Fe 3.27
Br 0.0000 0.0000 0.5000  4 As 2.92, 4 Fe 2.92, 2 Br 3.27
Br 0.0000 0.5000 0.0000  4 As 2.92, 4 Fe 2.92, 2 Br 3.27
As 0.5000 0.0000 0.0000  8 Br 2.92, 2 As 3.27


## ii
Below is a geometry-optimized FeAsBr2 structure, with properties calculated at the GGA-PBEsol level.

Calculated values
N(E_F)	0.8819	states/eV per atom
total moment	2.7	μB/f.u.
SG	No. 12

a b c (Å): 3.2526 3.9776 7.3263
angles (deg): 98.05 102.83 90.00
With the nearest neighbours (Å) after each atom.
Fractional coordinates of all 4 atoms:
Fe 0.0000 0.5000 0.0000  4 As 2.57, 4 Br 2.71
Br 0.3506 0.3076 0.7012  1 As 2.61, 2 Fe 2.71
Br 0.6494 0.6924 0.2988  1 As 2.61, 2 Fe 2.71
As 0.5000 0.0000 0.0000  4 Fe 2.57, 2 Br 2.61


Which structure wins on stability? ii wins.


## i
Below is a geometry-optimized TiFeAs2Br structure, with properties calculated at the GGA-PBEsol level.

Calculated values
N(E_F)	1.3108	states/eV per atom
total moment	2.8	μB/f.u.
SG	No. 123

a b c (Å): 4.4237 4.4237 5.0306
angles (deg): 90.00 90.00 90.00
With the nearest neighbours (Å) after each atom.
Fractional coordinates of all 5 atoms:
Ti 0.5000 0.5000 0.5000  4 Br 3.13, 8 As 3.35
Fe 0.0000 0.0000 0.0000  4 As 2.21
Br 0.0000 0.0000 0.5000  2 Fe 2.52
As 0.0000 0.5000 0.0000  2 Fe 2.21
As 0.5000 0.0000 0.0000  2 Fe 2.21


## ii
Below is a geometry-optimized TiFeAs2Br structure, with properties calculated at the GGA-PBEsol level.

Calculated values
N(E_F)	1.3307	states/eV per atom
total moment	3.9	μB/f.u.
SG	No. 123

a b c (Å): 4.8415 4.8415 4.8976
angles (deg): 90.00 90.00 90.00
With the nearest neighbours (Å) after each atom.
Fractional coordinates of all 5 atoms:
Ti 0.0000 0.0000 0.0000  4 As 2.42, 2 Br 2.45
Fe 0.5000 0.5000 0.5000  4 Br 3.42, 8 As 3.44
As 0.5000 0.0000 0.0000  2 Ti 2.42
As 0.0000 0.5000 0.0000  2 Ti 2.42
Br 0.0000 0.0000 0.5000  2 Ti 2.45


Which structure wins on stability? i wins.


## i
Below is a geometry-optimized GaAsPdBr2 structure, with properties calculated at the GGA-PBEsol level.

Calculated values
N(E_F)	0.7453	states/eV per atom
total moment	0.5	μB/f.u.
SG	No. 123

a b c (Å): 4.6601 5.2621 5.2621
angles (deg): 90.00 90.00 90.00
With the nearest neighbours (Å) after each atom.
Fractional coordinates of all 5 atoms:
Br 0.0000 0.0000 0.5000  2 Pd 2.63
Br 0.0000 0.5000 0.0000  2 Pd 2.63
Pd 0.0000 0.0000 0.0000  2 As 2.33
As 0.5000 0.0000 0.0000  2 Pd 2.33
Ga 0.5000 0.5000 0.5000  8 Br 3.51, 4 As 3.72


## ii
Below is a geometry-optimized GaAsPdBr2 structure, with properties calculated at the GGA-PBEsol level.

Calculated values
N(E_F)	0.9724	states/eV per atom
total moment	0.0	μB/f.u.
SG	No. 123

a b c (Å): 4.9130 4.9791 4.9791
angles (deg): 90.00 90.00 90.00
With the nearest neighbours (Å) after each atom.
Fractional coordinates of all 5 atoms:
Br 0.0000 0.5000 0.0000  2 Ga 2.49
Br 0.0000 0.0000 0.5000  2 Ga 2.49
Pd 0.5000 0.5000 0.5000  8 Br 3.50, 4 As 3.52
Ga 0.0000 0.0000 0.0000  2 As 2.46, 4 Br 2.49
As 0.5000 0.0000 0.0000  2 Ga 2.46


Which structure wins on stability? i wins.


## i
Below is a geometry-optimized GaAsPtBr2 structure, with properties calculated at the GGA-PBEsol level.

Calculated values
N(E_F)	0.3116	states/eV per atom
total moment	0.0	μB/f.u.
SG	No. 123

a b c (Å): 4.6033 5.3938 5.3938
angles (deg): 90.00 90.00 90.00
With the nearest neighbours (Å) after each atom.
Fractional coordinates of all 5 atoms:
Br 0.0000 0.5000 0.0000  2 As 2.70
Br 0.0000 0.0000 0.5000  2 As 2.70
As 0.0000 0.0000 0.0000  2 Pt 2.30
Ga 0.5000 0.5000 0.5000  8 Br 3.55, 4 Pt 3.81
Pt 0.5000 0.0000 0.0000  2 As 2.30


## ii
Below is a geometry-optimized GaAsPtBr2 structure, with properties calculated at the GGA-PBEsol level.

Calculated values
N(E_F)	0.5924	states/eV per atom
total moment	0.0	μB/f.u.
SG	No. 123

a b c (Å): 4.6491 5.3147 5.3147
angles (deg): 90.00 90.00 90.00
With the nearest neighbours (Å) after each atom.
Fractional coordinates of all 5 atoms:
Br 0.0000 0.0000 0.5000  2 Pt 2.66
Br 0.0000 0.5000 0.0000  2 Pt 2.66
Ga 0.5000 0.5000 0.5000  8 Br 3.53, 4 As 3.76
Pt 0.0000 0.0000 0.0000  2 As 2.32
As 0.5000 0.0000 0.0000  2 Pt 2.32


Which structure wins on stability? i wins.


## i
Below is a geometry-optimized GaReAs2Br structure, with properties calculated at the GGA-PBEsol level.

Calculated values
N(E_F)	0.4817	states/eV per atom
total moment	3.3	μB/f.u.
SG	No. 123

a b c (Å): 4.8296 4.8296 4.8338
angles (deg): 90.00 90.00 90.00
With the nearest neighbours (Å) after each atom.
Fractional coordinates of all 5 atoms:
As 0.0000 0.5000 0.0000  2 Ga 2.41
As 0.5000 0.0000 0.0000  2 Ga 2.41
Re 0.5000 0.5000 0.5000  4 Br 3.42, 8 As 3.42
Br 0.0000 0.0000 0.5000  2 Ga 2.42
Ga 0.0000 0.0000 0.0000  4 As 2.41, 2 Br 2.42


## ii
Below is a geometry-optimized GaReAs2Br structure, with properties calculated at the GGA-PBEsol level.

Calculated values
N(E_F)	0.5626	states/eV per atom
total moment	0.0	μB/f.u.
SG	No. 123

a b c (Å): 4.6961 4.6961 5.5705
angles (deg): 90.00 90.00 90.00
With the nearest neighbours (Å) after each atom.
Fractional coordinates of all 5 atoms:
Re 0.0000 0.0000 0.0000  4 As 2.35
Br 0.0000 0.0000 0.5000  2 Re 2.79
As 0.0000 0.5000 0.0000  2 Re 2.35
As 0.5000 0.0000 0.0000  2 Re 2.35
Ga 0.5000 0.5000 0.5000  4 Br 3.32, 8 As 3.64


Which structure wins on stability? ii wins.


## i
Below is a geometry-optimized SiAs2HBr structure, with properties calculated at the GGA-PBEsol level.

Calculated values
N(E_F)	0.3714	states/eV per atom
total moment	0.0	μB/f.u.
SG	No. 123

a b c (Å): 3.9361 3.9361 5.5685
angles (deg): 90.00 90.00 90.00
With the nearest neighbours (Å) after each atom.
Fractional coordinates of all 5 atoms:
As 0.5000 0.0000 0.0000  2 H 1.97
As 0.0000 0.5000 0.0000  2 H 1.97
Br 0.0000 0.0000 0.5000  4 Si 2.78, 2 H 2.78
H 0.0000 0.0000 0.0000  4 As 1.97
Si 0.5000 0.5000 0.5000  4 Br 2.78


## ii
Below is a geometry-optimized SiAs2HBr structure, with properties calculated at the GGA-PBEsol level.

Calculated values
N(E_F)	0.7131	states/eV per atom
total moment	0.6	μB/f.u.
SG	No. 123

a b c (Å): 4.7071 4.7071 5.2191
angles (deg): 90.00 90.00 90.00
With the nearest neighbours (Å) after each atom.
Fractional coordinates of all 5 atoms:
As 0.0000 0.5000 0.0000  2 Si 2.35
As 0.5000 0.0000 0.0000  2 Si 2.35
H 0.5000 0.5000 0.5000  4 Br 3.33, 8 As 3.51
Si 0.0000 0.0000 0.0000  4 As 2.35, 2 Br 2.61
Br 0.0000 0.0000 0.5000  2 Si 2.61


Which structure wins on stability? i wins.


## i
Below is a geometry-optimized HfAs2PbBr structure, with properties calculated at the GGA-PBEsol level.

Calculated values
N(E_F)	0.6043	states/eV per atom
total moment	0.1	μB/f.u.
SG	No. 123

a b c (Å): 5.2313 5.2313 5.2555
angles (deg): 90.00 90.00 90.00
With the nearest neighbours (Å) after each atom.
Fractional coordinates of all 5 atoms:
Br 0.0000 0.0000 0.5000  2 Pb 2.63
As 0.0000 0.5000 0.0000  2 Pb 2.62
As 0.5000 0.0000 0.0000  2 Pb 2.62
Hf 0.5000 0.5000 0.5000  4 Br 3.70, 8 As 3.71
Pb 0.0000 0.0000 0.0000  4 As 2.62, 2 Br 2.63


## ii
Below is a geometry-optimized HfAs2PbBr structure, with properties calculated at the GGA-PBEsol level.

Calculated values
N(E_F)	0.2794	states/eV per atom
total moment	0.0	μB/f.u.
SG	No. 123

a b c (Å): 5.1412 5.1412 5.1403
angles (deg): 90.00 90.00 90.00
With the nearest neighbours (Å) after each atom.
Fractional coordinates of all 5 atoms:
Pb 0.5000 0.5000 0.5000  8 As 3.64, 4 Br 3.64
As 0.5000 0.0000 0.0000  2 Hf 2.57
As 0.0000 0.5000 0.0000  2 Hf 2.57
Hf 0.0000 0.0000 0.0000  2 Br 2.57, 4 As 2.57
Br 0.0000 0.0000 0.5000  2 Hf 2.57


Which structure wins on stability? ii wins.


## i
Below is a geometry-optimized Hg2AsBr structure, with properties calculated at the GGA-PBEsol level.

Calculated values
N(E_F)	0.3656	states/eV per atom
total moment	0.0	μB/f.u.
SG	No. 65

a b c (Å): 3.5929 3.5929 7.9665
angles (deg): 90.00 90.00 111.09
With the nearest neighbours (Å) after each atom.
Fractional coordinates of all 4 atoms:
Br 0.5000 0.5000 0.0000  4 Hg 2.95
Hg 0.0000 0.0000 0.2680  2 As 2.75, 2 Br 2.95
Hg 0.0000 0.0000 0.7320  2 As 2.75, 2 Br 2.95
As 0.5000 0.5000 0.5000  4 Hg 2.75


## ii
Below is a geometry-optimized Hg2AsBr structure, with properties calculated at the GGA-PBEsol level.

Calculated values
N(E_F)	0.2503	states/eV per atom
total moment	0.0	μB/f.u.
SG	No. 122

a b c (Å): 6.3522 6.3522 8.0858
angles (deg): 113.13 113.13 90.00
With the nearest neighbours (Å) after each atom.
Fractional coordinates of all 8 atoms:
Br 0.0000 0.0000 0.0000  4 Hg 3.08
Br 0.2500 0.7500 0.5000  4 Hg 3.08
Hg 0.8049 0.3750 0.2500  2 As 2.58
Hg 0.4451 0.8750 0.2500  2 As 2.58
Hg 0.1250 0.1951 0.7500  2 As 2.58
Hg 0.6250 0.5549 0.7500  2 As 2.58
As 0.7500 0.2500 0.5000  4 Hg 2.58
As 0.5000 0.5000 0.0000  4 Hg 2.58


Which structure wins on stability? ii wins.


## i
Below is a geometry-optimized SiHgAs2Br structure, with properties calculated at the GGA-PBEsol level.

Calculated values
N(E_F)	0.9145	states/eV per atom
total moment	0.4	μB/f.u.
SG	No. 123

a b c (Å): 4.8124 4.8124 5.0019
angles (deg): 90.00 90.00 90.00
With the nearest neighbours (Å) after each atom.
Fractional coordinates of all 5 atoms:
As 0.5000 0.0000 0.0000  2 Si 2.41
As 0.0000 0.5000 0.0000  2 Si 2.41
Si 0.0000 0.0000 0.0000  4 As 2.41, 2 Br 2.50
Br 0.0000 0.0000 0.5000  2 Si 2.50
Hg 0.5000 0.5000 0.5000  4 Br 3.40, 8 As 3.47


## ii
Below is a geometry-optimized SiHgAs2Br structure, with properties calculated at the GGA-PBEsol level.

Calculated values
N(E_F)	1.1712	states/eV per atom
total moment	0.6	μB/f.u.
SG	No. 123

a b c (Å): 5.0806 5.0806 5.3740
angles (deg): 90.00 90.00 90.00
With the nearest neighbours (Å) after each atom.
Fractional coordinates of all 5 atoms:
Hg 0.0000 0.0000 0.0000  4 As 2.54, 2 Br 2.69
Si 0.5000 0.5000 0.5000  4 Br 3.59, 8 As 3.70
As 0.5000 0.0000 0.0000  2 Hg 2.54
As 0.0000 0.5000 0.0000  2 Hg 2.54
Br 0.0000 0.0000 0.5000  2 Hg 2.69


Which structure wins on stability? i wins.


## i
Below is a geometry-optimized TeAsI2Br structure, with properties calculated at the GGA-PBEsol level.

Calculated values
N(E_F)	1.1154	states/eV per atom
total moment	1.6	μB/f.u.
SG	No. 123

a b c (Å): 5.7202 5.7202 5.6072
angles (deg): 90.00 90.00 90.00
With the nearest neighbours (Å) after each atom.
Fractional coordinates of all 5 atoms:
Te 0.0000 0.0000 0.5000  2 Br 2.80
Br 0.0000 0.0000 0.0000  2 Te 2.80, 4 I 2.86
As 0.5000 0.5000 0.5000  8 I 4.01, 4 Te 4.04
I 0.5000 0.0000 0.0000  2 Br 2.86
I 0.0000 0.5000 0.0000  2 Br 2.86


## ii
Below is a geometry-optimized TeAsI2Br structure, with properties calculated at the GGA-PBEsol level.

Calculated values
N(E_F)	1.1952	states/eV per atom
total moment	0.0	μB/f.u.
SG	No. 123

a b c (Å): 5.4812 5.4812 5.5173
angles (deg): 90.00 90.00 90.00
With the nearest neighbours (Å) after each atom.
Fractional coordinates of all 5 atoms:
I 0.5000 0.0000 0.0000  2 As 2.74
I 0.0000 0.5000 0.0000  2 As 2.74
As 0.0000 0.0000 0.0000  4 I 2.74, 2 Te 2.76
Br 0.5000 0.5000 0.5000  4 Te 3.88, 8 I 3.89
Te 0.0000 0.0000 0.5000  2 As 2.76


Which structure wins on stability? ii wins.


## i
Below is a geometry-optimized InAs2Br structure, with properties calculated at the GGA-PBEsol level.

Calculated values
N(E_F)	0.0666	states/eV per atom
total moment	0.0	μB/f.u.
SG	No. 1

a b c (Å): 3.5806 5.8449 5.0748
angles (deg): 73.57 90.04 90.14
With the nearest neighbours (Å) after each atom.
Fractional coordinates of all 4 atoms:
As 0.1247 0.8337 0.0334  2 As 2.44
As 0.6247 0.9142 0.6929  2 As 2.44
Br 0.6248 0.4407 0.6217  2 As 2.89-2.99, 3 In 3.14-3.23
In 0.1256 0.3114 0.1521  2 As 2.94-3.02, 4 Br 3.14-3.24


## ii
Below is a geometry-optimized InAs2Br structure, with properties calculated at the GGA-PBEsol level.

Calculated values
N(E_F)	0.5159	states/eV per atom
total moment	0.0	μB/f.u.
SG	No. 139

a b c (Å): 4.9407 4.9407 4.9164
angles (deg): 120.16 120.16 90.00
With the nearest neighbours (Å) after each atom.
Fractional coordinates of all 4 atoms:
Br 0.5000 0.5000 0.0000  8 As 3.02
In 0.0000 0.0000 0.0000  8 As 3.02
As 0.2500 0.7500 0.5000  4 In 3.02, 4 Br 3.02
As 0.7500 0.2500 0.5000  4 In 3.02, 4 Br 3.02


Which structure wins on stability? i wins.